Record 1
Computed, not measured: a geometry-optimized CsInAs3 structure at the GGA-PBE level of DFT.

Output
Offset from the most stable computed form: 1094.6 meV/atom
Formation enthalpy at 0 K: 1.4857 eV per atom

```
5
Lattice="5.859 0.000 0.000 0.000 5.859 0.000 0.000 0.000 5.859" Properties=species:S:1:pos:R:3 pbc="T T T"
Cs 0.000 0.000 0.000
In 2.930 2.930 2.930
As 0.000 0.000 2.930
As 0.000 2.930 0.000
As 2.930 0.000 0.000
```

***

Record 2
Computed, not measured: a geometry-optimized PmHoEr2Sc structure at the GGA-PBE level of DFT.

Output
Formation enthalpy at 0 K: 0.3357 eV per atom

```
10
Lattice="4.073 -5.591 0.000 4.073 5.591 0.000 0.000 0.000 7.063" Properties=species:S:1:pos:R:3 pbc="T T T"
Pm 4.073 3.014 5.297
Pm 4.073 -3.014 1.766
Ho 4.073 3.002 1.766
Ho 4.073 -3.002 5.297
Er 1.602 0.000 0.000
Er 1.602 0.000 3.532
Er 6.543 0.000 0.000
Er 6.543 0.000 3.532
Sc 4.073 0.038 5.297
Sc 4.073 -0.038 1.766
```

***

Record 3
Computed, not measured: a geometry-optimized Pm2Er2Rh3 structure at the GGA-PBE level of DFT.

Output
Offset from the most stable computed form: 75.6 meV/atom
Formation enthalpy at 0 K: -0.6528 eV per atom

```
7
Lattice="4.382 0.000 0.000 2.189 5.546 0.000 0.007 1.289 7.341" Properties=species:S:1:pos:R:3 pbc="T T T"
Pm 1.096 1.761 2.608
Pm 5.482 5.074 4.733
Er 3.284 4.395 0.515
Er 3.294 2.440 6.827
Rh 1.095 2.773 0.000
Rh 1.104 1.575 5.397
Rh 5.474 5.260 1.944
```

***

Record 4
Computed, not measured: a geometry-optimized PrErGe2 structure at the GGA-PBE level of DFT.

Output
Formation enthalpy at 0 K: -0.6723 eV per atom

```
4
Lattice="2.331 1.346 5.437 -2.331 1.346 5.437 0.000 -2.691 5.437" Properties=species:S:1:pos:R:3 pbc="T T T"
Pr 0.000 0.000 0.000
Er 0.000 0.000 8.156
Ge 0.000 0.000 3.913
Ge 0.000 0.000 12.399
```

***

Record 5
Computed, not measured: a geometry-optimized TlPRh2 structure at the GGA-PBE level of DFT.

Output
Formation enthalpy at 0 K: 0.1555 eV per atom

```
4
Lattice="4.380 0.000 0.000 0.000 4.380 0.000 0.000 0.000 3.357" Properties=species:S:1:pos:R:3 pbc="T T T"
Tl 0.000 0.000 0.000
P 2.190 2.190 0.000
Rh 0.000 2.190 1.678
Rh 2.190 0.000 1.678
```

***

Record 6
Computed, not measured: a geometry-optimized BeCdPt3 structure at the GGA-PBE level of DFT.

Output
Offset from the most stable computed form: 196.4 meV/atom
Formation enthalpy at 0 K: -0.2417 eV per atom

```
10
Lattice="2.672 1.542 7.054 -2.672 1.542 7.054 0.000 -3.085 7.054" Properties=species:S:1:pos:R:3 pbc="T T T"
Be 0.000 0.000 2.810
Be 0.000 0.000 18.351
Cd 0.000 0.000 7.051
Cd 0.000 0.000 14.110
Pt -1.524 -0.465 9.399
Pt -0.359 -1.552 11.762
Pt -1.165 1.087 11.762
Pt 1.165 -1.087 9.399
Pt 0.359 1.552 9.399
Pt 1.524 0.465 11.762
```

***

Record 7
Computed, not measured: a geometry-optimized PmPaTe2 structure at the GGA-PBE level of DFT.

Output
Uncorrected formation energy: -0.958 eV per atom
Offset from the most stable computed form: 0.0 meV/atom

```
4
Lattice="3.790 0.000 0.000 0.000 3.790 0.000 0.000 0.000 7.590" Properties=species:S:1:pos:R:3 pbc="T T T"
Pm 0.000 0.000 0.000
Pa 0.000 0.000 3.795
Te 1.895 1.895 1.974
Te 1.895 1.895 5.616
```

***

Record 8
Computed, not measured: a geometry-optimized NdNiRh structure at the GGA-PBE level of DFT.

Output
Formation enthalpy at 0 K: -0.1852 eV per atom

```
3
Lattice="-1.718 1.718 4.768 1.718 -1.718 4.768 1.718 1.718 -4.768" Properties=species:S:1:pos:R:3 pbc="T T T"
Nd 0.000 0.000 0.000
Ni 0.000 0.000 6.746
Rh 0.000 0.000 2.827
```

***

Record 9
Computed, not measured: a geometry-optimized SrTbEu2 structure at the GGA-PBE level of DFT.

Output
Offset from the most stable computed form: 61.2 meV/atom
Formation enthalpy at 0 K: 0.1505 eV per atom

```
4
Lattice="6.180 0.000 0.000 0.000 6.180 0.000 0.000 0.000 4.276" Properties=species:S:1:pos:R:3 pbc="T T T"
Sr 0.000 0.000 0.000
Tb 3.090 3.090 0.000
Eu 0.000 3.090 2.138
Eu 3.090 0.000 2.138
```

***

Record 10
Computed, not measured: a geometry-optimized Ac2Zn3Ni structure at the GGA-PBE level of DFT.

Output
Formation enthalpy at 0 K: -0.3031 eV per atom

```
6
Lattice="4.123 0.000 0.000 0.000 4.492 0.000 0.000 0.000 7.878" Properties=species:S:1:pos:R:3 pbc="T T T"
Ac 0.000 0.000 0.000
Ac 0.000 2.246 3.643
Zn 2.061 0.000 5.026
Zn 2.061 2.246 1.179
Zn 2.061 2.246 6.377
Ni 2.061 0.000 2.446
```

***

Record 11
Computed, not measured: a geometry-optimized Cs2HgSbI6 structure at the GGA-PBE level of DFT.

Output
Uncorrected formation energy: -0.804 eV per atom
Offset from the most stable computed form: 0.0 meV/atom

```
20
Lattice="8.794 0.000 0.000 0.000 8.933 0.000 -8.728 0.000 12.094" Properties=species:S:1:pos:R:3 pbc="T T T"
Cs -0.084 0.320 3.019
Cs -4.448 4.146 9.066
Cs 4.514 4.787 3.028
Cs 0.150 8.613 9.075
Hg 4.397 0.000 0.000
Hg 0.033 4.466 6.047
Sb -4.364 0.000 6.047
Sb 0.000 4.466 0.000
I -6.862 2.068 11.906
I -2.498 2.399 5.859
I -6.349 6.350 11.885
I -1.985 7.050 5.838
I -4.113 0.007 9.088
I 0.251 4.459 3.041
I -0.185 4.474 9.054
I 4.179 8.925 3.006
I 2.051 1.883 6.256
I 6.415 2.583 0.209
I 2.564 6.534 6.235
I 6.928 6.865 0.188
```

***

Record 12
Computed, not measured: a geometry-optimized V8NiH2 structure at the GGA-PBE level of DFT.

Output
Uncorrected energy: -7.571 eV per atom

```
11
Lattice="4.779 -3.283 0.000 4.779 3.283 0.000 -0.596 0.000 4.145" Properties=species:S:1:pos:R:3 pbc="T T T"
V 3.276 1.842 1.150
V 0.980 0.000 0.978
V 2.792 0.000 3.612
V 5.686 1.842 2.995
V 3.276 -1.842 1.150
V 6.170 0.000 0.533
V 7.981 0.000 3.167
V 5.686 -1.842 2.995
Ni 4.481 0.000 2.073
H 2.819 0.000 1.347
H 6.143 0.000 2.798
```

***

Record 13
Computed, not measured: a geometry-optimized TmPd9Pb2 structure at the GGA-PBE level of DFT.

Output
Formation enthalpy at 0 K: -0.5005 eV per atom

```
12
Lattice="4.108 0.000 0.000 0.000 4.108 0.000 0.000 0.000 12.297" Properties=species:S:1:pos:R:3 pbc="T T T"
Tm 0.000 0.000 0.000
Pd 0.000 2.054 2.035
Pd 0.000 2.054 6.149
Pd 0.000 2.054 10.262
Pd 2.054 0.000 2.035
Pd 2.054 0.000 6.149
Pd 2.054 0.000 10.262
Pd 2.054 2.054 0.000
Pd 2.054 2.054 4.111
Pd 2.054 2.054 8.186
Pb 0.000 0.000 4.084
Pb 0.000 0.000 8.214
```

***

Record 14
Computed, not measured: a geometry-optimized TcPtCl4 structure at the GGA-PBE level of DFT.

Output
Uncorrected formation energy: 1.370 eV per atom

```
6
Lattice="0.000 3.993 3.993 3.993 0.000 3.993 3.993 3.993 0.000" Properties=species:S:1:pos:R:3 pbc="T T T"
Tc 0.000 0.000 0.000
Pt 1.997 1.997 1.997
Cl 4.991 2.996 2.996
Cl 2.996 4.991 2.996
Cl 2.996 2.996 4.991
Cl 4.991 4.991 4.991
```

***

Record 15
Computed, not measured: a geometry-optimized ZnCu3Se structure at the GGA-PBE level of DFT.

Output
Uncorrected formation energy: 0.500 eV per atom
Offset from the most stable computed form: 0.0 meV/atom

```
5
Lattice="4.615 0.000 0.000 0.000 4.615 0.000 0.000 0.000 4.615" Properties=species:S:1:pos:R:3 pbc="T T T"
Zn 0.000 0.000 0.000
Cu 0.000 2.307 2.307
Cu 2.307 0.000 2.307
Cu 2.307 2.307 0.000
Se 2.307 2.307 2.307
```

***

Record 16
Computed, not measured: a geometry-optimized Mg3PdPt structure at the GGA-PBE level of DFT.

Output
Offset from the most stable computed form: 0.0 meV/atom
Formation enthalpy at 0 K: -0.6796 eV per atom

```
10
Lattice="4.639 0.000 0.000 0.000 4.642 0.000 -2.294 0.000 7.916" Properties=species:S:1:pos:R:3 pbc="T T T"
Mg -0.001 1.160 0.978
Mg 0.011 1.160 3.954
Mg 0.019 1.160 6.916
Mg 2.325 3.481 0.999
Mg 2.334 3.481 3.962
Mg 2.346 3.481 6.938
Pd 0.020 3.481 5.507
Pd 2.325 1.160 2.408
Pt 0.011 3.481 2.371
Pt 2.334 1.160 5.545
```

***

Record 17
Computed, not measured: a geometry-optimized ZrGaRu2W structure at the GGA-PBE level of DFT.

Output
Formation enthalpy at 0 K: 2.0061 eV per atom

```
5
Lattice="4.748 0.000 0.000 0.000 4.748 0.000 0.000 0.000 5.027" Properties=species:S:1:pos:R:3 pbc="T T T"
Zr 0.000 0.000 0.000
Ga 0.000 0.000 2.513
Ru 0.000 2.374 0.000
Ru 2.374 0.000 0.000
W 2.374 2.374 2.513
```

***

Record 18
Computed, not measured: a geometry-optimized CaMg2 structure at the GGA-PBE level of DFT.

Output
Formation enthalpy at 0 K: -0.0134 eV per atom

```
6
Lattice="5.487 0.000 0.000 -2.743 4.752 0.000 0.000 0.000 6.504" Properties=species:S:1:pos:R:3 pbc="T T T"
Ca 0.000 3.168 1.626
Ca 2.743 1.584 4.878
Mg 0.000 0.000 0.000
Mg 0.000 0.000 3.252
Mg 0.000 3.168 4.878
Mg 2.743 1.584 1.626
```

***

Record 19
Computed, not measured: a geometry-optimized CdTe2F structure at the GGA-PBE level of DFT.

Output
Uncorrected formation energy: -0.832 eV per atom
Offset from the most stable computed form: 22.8 meV/atom

```
8
Lattice="5.784 0.000 0.000 0.722 5.855 0.000 2.721 -0.221 7.613" Properties=species:S:1:pos:R:3 pbc="T T T"
Cd 0.000 0.000 0.000
Cd 3.351 3.616 0.472
Te 1.330 2.478 2.296
Te 2.827 2.960 4.600
Te 5.351 4.651 2.334
Te 6.830 1.445 6.155
F 4.110 3.672 6.711
F 2.194 0.032 0.346
```

***

Record 20
Computed, not measured: a geometry-optimized Ac8CuRh3Br4 structure at the GGA-PBE level of DFT.

Output
Uncorrected formation energy: -1.045 eV per atom

```
16
Lattice="7.579 -4.377 0.000 7.579 4.377 0.000 -5.061 0.000 8.280" Properties=species:S:1:pos:R:3 pbc="T T T"
Ac 3.761 2.233 5.751
Ac -0.003 0.000 5.758
Ac 2.471 0.000 2.529
Ac 6.337 2.233 2.529
Ac 3.761 -2.233 5.751
Ac 7.627 0.000 5.751
Ac 10.100 0.000 2.522
Ac 6.337 -2.233 2.529
Cu 5.049 0.000 4.140
Rh -2.530 0.000 4.140
Rh 1.259 2.188 4.140
Rh 1.259 -2.188 4.140
Br 0.000 0.000 0.000
Br 3.790 2.188 0.000
Br 3.790 -2.188 0.000
Br 7.579 0.000 0.000
```

***

Record 21
Computed, not measured: a geometry-optimized NiSe2 structure at the GGA-PBE level of DFT.

Output
Uncorrected formation energy: 0.194 eV per atom

```
3
Lattice="4.423 0.000 0.000 0.000 4.423 0.000 0.000 0.000 2.825" Properties=species:S:1:pos:R:3 pbc="T T T"
Ni 0.000 0.000 0.000
Se 0.000 2.211 1.413
Se 2.211 0.000 1.413
```

***

Record 22
Computed, not measured: a geometry-optimized ZrTcTe3 structure at the GGA-PBE level of DFT.

Output
Uncorrected formation energy: 0.581 eV per atom
Offset from the most stable computed form: 0.0 meV/atom

```
5
Lattice="5.191 0.000 0.000 0.000 5.191 0.000 0.000 0.000 5.191" Properties=species:S:1:pos:R:3 pbc="T T T"
Zr 0.000 0.000 0.000
Tc 2.595 2.595 2.595
Te 0.000 2.595 2.595
Te 2.595 0.000 2.595
Te 2.595 2.595 0.000
```

***

Record 23
Computed, not measured: a geometry-optimized TaCd2RhI structure at the GGA-PBE level of DFT.

Output
Uncorrected formation energy: 0.911 eV per atom

```
5
Lattice="5.700 0.000 0.000 0.000 5.700 0.000 0.000 0.000 4.652" Properties=species:S:1:pos:R:3 pbc="T T T"
Ta 0.000 0.000 0.000
Cd 0.000 2.850 0.000
Cd 2.850 0.000 0.000
Rh 0.000 0.000 2.326
I 2.850 2.850 2.326
```

***

Record 24
Computed, not measured: a geometry-optimized MgNbSb2Br structure at the GGA-PBE level of DFT.

Output
Uncorrected formation energy: 1.042 eV per atom

```
5
Lattice="5.580 0.000 0.000 0.000 5.580 0.000 0.000 0.000 4.759" Properties=species:S:1:pos:R:3 pbc="T T T"
Mg 0.000 0.000 0.000
Nb 2.790 2.790 0.000
Sb 0.000 2.790 2.379
Sb 2.790 0.000 2.379
Br 0.000 0.000 2.379
```

***

Record 25
Computed, not measured: a geometry-optimized PuPa2Tl structure at the GGA-PBE level of DFT.

Output
Offset from the most stable computed form: 91.8 meV/atom
Formation enthalpy at 0 K: 0.2263 eV per atom

```
4
Lattice="3.808 0.000 0.000 0.000 3.808 0.000 0.000 0.000 6.875" Properties=species:S:1:pos:R:3 pbc="T T T"
Pu 0.000 0.000 0.000
Pa 1.904 1.904 1.529
Pa 1.904 1.904 5.346
Tl 0.000 0.000 3.438
```

***

Record 26
Computed, not measured: a geometry-optimized Y2BeSeI structure at the GGA-PBE level of DFT.

Output
Uncorrected formation energy: -0.271 eV per atom

```
5
Lattice="5.575 0.000 0.000 0.000 5.575 0.000 0.000 0.000 4.049" Properties=species:S:1:pos:R:3 pbc="T T T"
Y 0.000 2.788 0.000
Y 2.788 0.000 0.000
Be 0.000 0.000 2.025
Se 0.000 0.000 0.000
I 2.788 2.788 2.025
```

***

Quick rundown of total magnetization, same order as above: 1.7, 0.0, 0.0, 0.0, 0.0, 0.0, 1.2, 0.0, 14.4, 0.0, 0.0, 0.0, 0.0, 3.6, 0.0, 0.0, 0.0, 0.0, 0.0, 0.0, 0.0, 1.5, 0.0, 2.8, 5.7, 0.0 μB per cell